# meta-GGA SCAN Ni3BAu, PBEsol geometry
data_Ni3BAu
_symmetry_space_group_name_H-M 'P m -3 m'
_symmetry_Int_Tables_number 221
_symmetry_space_group_name_Hall '-P 4 2 3'
_cell_length_a 4.568
_cell_length_b 4.568
_cell_length_c 4.568
_cell_angle_alpha 90.00
_cell_angle_beta 90.00
_cell_angle_gamma 90.00
loop_
_atom_site_label
_atom_site_type_symbol
_atom_site_fract_x
_atom_site_fract_y
_atom_site_fract_z
Ni1 Ni 0.000 0.000 0.500
B1 B 0.500 0.500 0.500
Au1 Au 0.000 0.000 0.000
# Fermi-level density of states = 0.7339 states/eV per atom
# Distance to the lowest polymorph of the same formula = 10.12 eV/f.u.
# Energy of formation = 2.05 eV/atom